No. 1
First-principles (GGA-PBEsol) data for an optimized crystal structure of FeTeI2Br, as listed in the Alexandria database.

crystal system	tetragonal
ΔE_f (raw)	5.92	eV per formula unit
calculated total energy	-2.394	eV per atom
V	36.39	A^3/atom

Lattice parameters (Å, degrees): 5.482 5.761 5.761 90.00 90.00 90.00
Fractional coordinates of all 5 atoms:
I  0.000  0.000  0.500
I  0.000  0.500  0.000
Te  0.500  0.000  0.000
Fe  0.500  0.500  0.500
Br  0.000  0.000  0.000

=====

No. 2
First-principles (GGA-PBEsol) data for an optimized crystal structure of InFe2Br, as listed in the Alexandria database.

E above lowest polymorph	0.438	eV per atom
crystal system	tetragonal
ΔE_f (raw)	2.63	eV per formula unit
calculated total energy	-5.038	eV per atom
V	16.18	A^3/atom

Lattice parameters (Å, degrees): 3.092 4.575 4.575 90.00 90.00 90.00
Fractional coordinates of all 4 atoms:
Br  0.500  0.000  0.000
Fe  0.000  0.000  0.500
Fe  0.000  0.500  0.000
In  0.500  0.500  0.500

=====

No. 3
First-principles (GGA-PBEsol) data for an optimized crystal structure of InFe2Br, as listed in the Alexandria database.

E above lowest polymorph	0.438	eV per atom
crystal system	orthorhombic
ΔE_f (raw)	2.63	eV per formula unit
calculated total energy	-5.038	eV per atom
V	17.28	A^3/atom

Lattice parameters (Å, degrees): 3.019 4.355 5.257 90.00 90.00 90.00
Fractional coordinates of all 4 atoms:
Br  0.000  0.500  0.500
Fe  0.000  0.000  0.000
Fe  0.500  0.000  0.500
In  0.500  0.500  0.000

=====

No. 4
First-principles (GGA-PBEsol) data for an optimized crystal structure of InFeBr2, as listed in the Alexandria database.

E above lowest polymorph	0.169	eV per atom
crystal system	tetragonal
ΔE_f (raw)	0.17	eV per formula unit
calculated total energy	-3.878	eV per atom
V	22.75	A^3/atom

Lattice parameters (Å, degrees): 3.233 3.233 8.709 90.00 90.00 90.00
Fractional coordinates of all 4 atoms:
Br  0.000  0.000  0.818
Br  0.000  0.000  0.182
Fe  0.500  0.500  0.000
In  0.500  0.500  0.500

=====

No. 5
First-principles (GGA-PBEsol) data for an optimized crystal structure of InFe2Br, as listed in the Alexandria database.

E above lowest polymorph	0.000	eV per atom
crystal system	monoclinic
ΔE_f (raw)	0.88	eV per formula unit
calculated total energy	-5.476	eV per atom
V	18.06	A^3/atom

Lattice parameters (Å, degrees): 3.065 3.176 7.582 87.98 101.66 90.00
Fractional coordinates of all 4 atoms:
Br  0.286  0.123  0.572
Fe  0.081  0.791  0.163
Fe  0.660  0.269  0.319
In  0.473  0.317  0.946

=====

No. 6
First-principles (GGA-PBEsol) data for an optimized crystal structure of InFeBr2, as listed in the Alexandria database.

E above lowest polymorph	0.103	eV per atom
crystal system	orthorhombic
ΔE_f (raw)	-0.09	eV per formula unit
calculated total energy	-3.945	eV per atom
V	24.52	A^3/atom

Lattice parameters (Å, degrees): 3.513 3.513 9.155 90.00 90.00 119.75
Fractional coordinates of all 4 atoms:
Br  0.000  0.000  0.308
Br  0.000  0.000  0.692
Fe  0.500  0.500  0.500
In  0.500  0.500  0.000

=====

No. 7
First-principles (GGA-PBEsol) data for an optimized crystal structure of In2FeBr, as listed in the Alexandria database.

crystal system	tetragonal
ΔE_f (raw)	0.65	eV per formula unit
calculated total energy	-4.037	eV per atom
V	22.07	A^3/atom

Lattice parameters (Å, degrees): 3.105 3.105 9.156 90.00 90.00 90.00
Fractional coordinates of all 4 atoms:
Br  0.000  0.000  0.581
Fe  0.500  0.500  0.739
In  0.000  0.000  0.948
In  0.500  0.500  0.232

=====

No. 8
First-principles (GGA-PBEsol) data for an optimized crystal structure of InFeBr2, as listed in the Alexandria database.

E above lowest polymorph	0.000	eV per atom
crystal system	monoclinic
ΔE_f (raw)	-0.50	eV per formula unit
calculated total energy	-4.047	eV per atom
V	26.59	A^3/atom

Lattice parameters (Å, degrees): 3.468 5.341 6.687 113.37 90.00 108.95
Fractional coordinates of all 4 atoms:
Br  0.012  0.025  0.922
Br  0.848  0.696  0.330
Fe  0.458  0.917  0.626
In  0.181  0.363  0.623

=====

No. 9
First-principles (GGA-PBEsol) data for an optimized crystal structure of InFeBr3, as listed in the Alexandria database.

crystal system	cubic
ΔE_f (raw)	1.74	eV per formula unit
calculated total energy	-3.163	eV per atom
V	32.01	A^3/atom

Lattice parameters (Å, degrees): 5.429 5.429 5.429 90.00 90.00 90.00
Fractional coordinates of all 5 atoms:
Fe  0.500  0.500  0.500
Br  0.000  0.500  0.000
Br  0.000  0.000  0.500
Br  0.500  0.000  0.000
In  0.000  0.000  0.000

=====

No. 10
First-principles (GGA-PBEsol) data for an optimized crystal structure of Fe2IrBr, as listed in the Alexandria database.

E above lowest polymorph	0.269	eV per atom
crystal system	cubic
ΔE_f (raw)	3.52	eV per formula unit
calculated total energy	-6.526	eV per atom
V	14.08	A^3/atom

Lattice parameters (Å, degrees): 4.303 4.303 4.303 60.00 60.00 60.00
Fractional coordinates of all 4 atoms:
Br  0.500  0.500  0.500
Fe  0.000  0.000  0.000
Fe  0.750  0.750  0.750
Ir  0.250  0.250  0.250

=====

No. 11
First-principles (GGA-PBEsol) data for an optimized crystal structure of FeIr2Br, as listed in the Alexandria database.

E above lowest polymorph	0.000	eV per atom
crystal system	orthorhombic
ΔE_f (raw)	2.86	eV per formula unit
calculated total energy	-6.906	eV per atom
V	15.44	A^3/atom

Lattice parameters (Å, degrees): 2.752 4.146 5.956 110.37 103.36 90.00
Fractional coordinates of all 4 atoms:
Br  0.000  0.500  0.000
Fe  0.500  0.000  0.000
Ir  0.791  0.791  0.582
Ir  0.209  0.209  0.418

=====

No. 12
First-principles (GGA-PBEsol) data for an optimized crystal structure of FeIr2Br, as listed in the Alexandria database.

E above lowest polymorph	0.032	eV per atom
crystal system	monoclinic
ΔE_f (raw)	2.99	eV per formula unit
calculated total energy	-6.874	eV per atom
V	15.01	A^3/atom

Lattice parameters (Å, degrees): 2.871 4.604 4.542 90.00 90.00 89.59
Fractional coordinates of all 4 atoms:
Br  0.000  0.500  0.500
Fe  0.500  0.000  0.500
Ir  0.257  0.242  0.000
Ir  0.743  0.758  0.000

=====

No. 13
First-principles (GGA-PBEsol) data for an optimized crystal structure of Fe2IrBr, as listed in the Alexandria database.

E above lowest polymorph	0.000	eV per atom
crystal system	orthorhombic
ΔE_f (raw)	2.44	eV per formula unit
calculated total energy	-6.795	eV per atom
V	15.07	A^3/atom

Lattice parameters (Å, degrees): 2.749 2.749 8.979 90.00 90.00 117.31
Fractional coordinates of all 4 atoms:
Br  0.500  0.500  0.210
Fe  0.000  0.000  0.978
Fe  0.500  0.500  0.768
Ir  0.000  0.000  0.544

=====

No. 14
First-principles (GGA-PBEsol) data for an optimized crystal structure of Fe3IrBr, as listed in the Alexandria database.

crystal system	cubic
ΔE_f (raw)	6.48	eV per formula unit
calculated total energy	-6.421	eV per atom
V	20.24	A^3/atom

Lattice parameters (Å, degrees): 4.660 4.660 4.660 90.00 90.00 90.00
Fractional coordinates of all 5 atoms:
Ir  0.000  0.000  0.000
Fe  0.000  0.500  0.000
Fe  0.000  0.000  0.500
Fe  0.500  0.000  0.000
Br  0.500  0.500  0.500

=====

No. 15
First-principles (GGA-PBEsol) data for an optimized crystal structure of NaFeIrBr2, as listed in the Alexandria database.

crystal system	tetragonal
ΔE_f (raw)	1.92	eV per formula unit
calculated total energy	-4.401	eV per atom
V	24.97	A^3/atom

Lattice parameters (Å, degrees): 4.661 5.175 5.175 90.00 90.00 90.00
Fractional coordinates of all 5 atoms:
Na  0.500  0.500  0.500
Ir  0.000  0.000  0.000
Fe  0.500  0.000  0.000
Br  0.000  0.000  0.500
Br  0.000  0.500  0.000

=====

No. 16
First-principles (GGA-PBEsol) data for an optimized crystal structure of FeIrRu2Br, as listed in the Alexandria database.

crystal system	tetragonal
ΔE_f (raw)	8.55	eV per formula unit
calculated total energy	-6.490	eV per atom
V	20.33	A^3/atom

Lattice parameters (Å, degrees): 4.668 4.668 4.666 90.00 90.00 90.00
Fractional coordinates of all 5 atoms:
Ru  0.000  0.500  0.000
Ru  0.500  0.000  0.000
Ir  0.000  0.000  0.000
Fe  0.000  0.000  0.500
Br  0.500  0.500  0.500

=====

No. 17
First-principles (GGA-PBEsol) data for an optimized crystal structure of Fe2IrWBr, as listed in the Alexandria database.

crystal system	tetragonal
ΔE_f (raw)	8.37	eV per formula unit
calculated total energy	-7.012	eV per atom
V	15.87	A^3/atom

Lattice parameters (Å, degrees): 4.148 4.148 4.609 90.00 90.00 90.00
Fractional coordinates of all 5 atoms:
Ir  0.500  0.500  0.500
Br  0.000  0.000  0.000
W  0.000  0.000  0.500
Fe  0.000  0.500  0.000
Fe  0.500  0.000  0.000

=====

No. 18
First-principles (GGA-PBEsol) data for an optimized crystal structure of KFe2Br, as listed in the Alexandria database.

E above lowest polymorph	0.110	eV per atom
crystal system	tetragonal
ΔE_f (raw)	3.20	eV per formula unit
calculated total energy	-4.432	eV per atom
V	23.44	A^3/atom

Lattice parameters (Å, degrees): 3.915 3.915 6.715 106.95 106.95 90.00
Fractional coordinates of all 4 atoms:
Br  0.000  0.000  0.000
Fe  0.750  0.250  0.500
Fe  0.250  0.750  0.500
K  0.500  0.500  0.000

=====

No. 19
First-principles (GGA-PBEsol) data for an optimized crystal structure of K2FeBr, as listed in the Alexandria database.

E above lowest polymorph	0.065	eV per atom
crystal system	orthorhombic
ΔE_f (raw)	0.77	eV per formula unit
calculated total energy	-3.084	eV per atom
V	32.57	A^3/atom

Lattice parameters (Å, degrees): 5.598 5.693 5.693 60.96 60.55 60.55
Fractional coordinates of all 4 atoms:
Br  0.500  0.000  0.000
Fe  0.000  0.500  0.500
K  0.251  0.749  0.749
K  0.749  0.251  0.251

=====

No. 20
First-principles (GGA-PBEsol) data for an optimized crystal structure of KFe2Br, as listed in the Alexandria database.

E above lowest polymorph	0.000	eV per atom
crystal system	monoclinic
ΔE_f (raw)	2.76	eV per formula unit
calculated total energy	-4.543	eV per atom
V	23.46	A^3/atom

Lattice parameters (Å, degrees): 3.219 4.898 5.954 90.00 90.00 91.61
Fractional coordinates of all 4 atoms:
Br  0.500  0.500  0.500
Fe  0.279  0.176  0.000
Fe  0.721  0.824  0.000
K  0.000  0.000  0.500

=====

No. 21
First-principles (GGA-PBEsol) data for an optimized crystal structure of K2FeBr, as listed in the Alexandria database.

E above lowest polymorph	0.120	eV per atom
crystal system	tetragonal
ΔE_f (raw)	0.98	eV per formula unit
calculated total energy	-3.029	eV per atom
V	33.58	A^3/atom

Lattice parameters (Å, degrees): 4.618 4.618 7.095 108.99 108.99 90.00
Fractional coordinates of all 4 atoms:
Br  0.500  0.500  0.000
Fe  0.250  0.750  0.500
K  0.000  0.000  0.000
K  0.750  0.250  0.500

=====

No. 22
First-principles (GGA-PBEsol) data for an optimized crystal structure of KFeBr4, as listed in the Alexandria database.

crystal system	orthorhombic
ΔE_f (raw)	-5.23	eV per formula unit
calculated total energy	-3.801	eV per atom
V	32.98	A^3/atom

Lattice parameters (Å, degrees): 7.587 10.222 10.205 90.00 90.00 90.00
Fractional coordinates of all 24 atoms:
K  0.331  0.250  0.250
K  0.669  0.750  0.750
K  0.169  0.750  0.250
K  0.831  0.250  0.750
Fe  0.250  0.000  0.682
Fe  0.750  0.000  0.318
Fe  0.250  0.500  0.818
Fe  0.750  0.500  0.182
Br  0.175  0.179  0.553
Br  0.825  0.821  0.447
Br  0.325  0.821  0.553
Br  0.325  0.679  0.947
Br  0.675  0.179  0.447
Br  0.675  0.321  0.053
Br  0.175  0.321  0.947
Br  0.825  0.679  0.053
Br  0.992  0.045  0.184
Br  0.008  0.955  0.816
Br  0.508  0.955  0.184
Br  0.508  0.545  0.316
Br  0.492  0.045  0.816
Br  0.492  0.455  0.684
Br  0.992  0.455  0.316
Br  0.008  0.545  0.684

=====

No. 23
First-principles (GGA-PBEsol) data for an optimized crystal structure of K2FeBr, as listed in the Alexandria database.

E above lowest polymorph	0.000	eV per atom
crystal system	monoclinic
ΔE_f (raw)	0.50	eV per formula unit
calculated total energy	-3.149	eV per atom
V	34.41	A^3/atom

Lattice parameters (Å, degrees): 4.093 4.256 9.287 102.23 90.00 118.74
Fractional coordinates of all 4 atoms:
Br  0.000  0.000  0.500
Fe  0.500  0.000  0.000
K  0.743  0.487  0.730
K  0.257  0.513  0.270

=====

No. 24
First-principles (GGA-PBEsol) data for an optimized crystal structure of KNaFeBr2, as listed in the Alexandria database.

crystal system	tetragonal
ΔE_f (raw)	-0.34	eV per formula unit
calculated total energy	-3.116	eV per atom
V	32.79	A^3/atom

Lattice parameters (Å, degrees): 5.336 5.543 5.543 90.00 90.00 90.00
Fractional coordinates of all 5 atoms:
Na  0.000  0.000  0.000
K  0.500  0.500  0.500
Fe  0.500  0.000  0.000
Br  0.000  0.000  0.500
Br  0.000  0.500  0.000

=====

No. 25
First-principles (GGA-PBEsol) data for an optimized crystal structure of La2FeBr, as listed in the Alexandria database.

E above lowest polymorph	0.000	eV per atom
crystal system	orthorhombic
ΔE_f (raw)	-2.15	eV per formula unit
calculated total energy	-5.919	eV per atom
V	24.01	A^3/atom

Lattice parameters (Å, degrees): 3.476 3.476 8.149 90.00 90.00 102.62
Fractional coordinates of all 4 atoms:
Br  0.500  0.500  0.500
Fe  0.500  0.500  0.000
La  0.000  0.000  0.203
La  0.000  0.000  0.797

=====

No. 26
First-principles (GGA-PBEsol) data for an optimized crystal structure of La2FeBr, as listed in the Alexandria database.

E above lowest polymorph	0.024	eV per atom
crystal system	tetragonal
ΔE_f (raw)	-2.06	eV per formula unit
calculated total energy	-5.896	eV per atom
V	26.35	A^3/atom

Lattice parameters (Å, degrees): 4.204 4.204 5.965 90.00 90.00 90.00
Fractional coordinates of all 4 atoms:
Br  0.000  0.000  0.387
Fe  0.500  0.500  0.936
La  0.000  0.000  0.883
La  0.500  0.500  0.294

=====

No. 27
First-principles (GGA-PBEsol) data for an optimized crystal structure of La2FeBr, as listed in the Alexandria database.

E above lowest polymorph	0.003	eV per atom
crystal system	monoclinic
ΔE_f (raw)	-2.14	eV per formula unit
calculated total energy	-5.916	eV per atom
V	23.72	A^3/atom

Lattice parameters (Å, degrees): 3.452 3.434 8.035 90.00 94.92 90.00
Fractional coordinates of all 4 atoms:
Br  0.500  0.500  0.000
Fe  0.500  0.500  0.500
La  0.920  0.000  0.709
La  0.080  0.000  0.291

=====

No. 28
First-principles (GGA-PBEsol) data for an optimized crystal structure of La2FeBr, as listed in the Alexandria database.

E above lowest polymorph	0.363	eV per atom
crystal system	tetragonal
ΔE_f (raw)	-0.70	eV per formula unit
calculated total energy	-5.556	eV per atom
V	23.43	A^3/atom

Lattice parameters (Å, degrees): 4.109 4.109 6.264 109.15 109.15 90.00
Fractional coordinates of all 4 atoms:
Br  0.500  0.500  0.000
Fe  0.250  0.750  0.500
La  0.000  0.000  0.000
La  0.750  0.250  0.500

=====

No. 29
First-principles (GGA-PBEsol) data for an optimized crystal structure of Li2FeBr, as listed in the Alexandria database.

E above lowest polymorph	0.000	eV per atom
crystal system	orthorhombic
ΔE_f (raw)	0.16	eV per formula unit
calculated total energy	-3.653	eV per atom
V	18.44	A^3/atom

Lattice parameters (Å, degrees): 3.177 3.293 7.412 102.83 102.38 90.00
Fractional coordinates of all 4 atoms:
Br  0.457  0.957  0.914
Fe  0.197  0.197  0.395
Li  0.036  0.536  0.072
Li  0.810  0.810  0.619